1.
DFT (PBE-GGA) results for Mo5Au after structural relaxation.

## Properties
ΔH_f (0 K): 289 meV/atom
energy above the most stable polymorph in this dataset: 100 meV per atom
final energy: -9.283 eV/atom

```
data_Mo5Au
_space_group_name_H-M_alt 'C 1 m 1'
_space_group_IT_number 8
_cell_length_a 10.693
_cell_length_b 2.651
_cell_length_c 7.080
_cell_angle_alpha 90.00
_cell_angle_beta 104.14
_cell_angle_gamma 90.00
loop_
_space_group_symop_operation_xyz
'x,y,z'
'x,-y,z'
'x+1/2,y+1/2,z'
'x+1/2,-y+1/2,z'
loop_
_atom_site_label
_atom_site_fract_x
_atom_site_fract_y
_atom_site_fract_z
Mo1 0.000 0.000 0.000
Mo2 0.063 0.000 0.634
Mo3 0.161 0.500 0.334
Mo4 0.235 0.500 0.966
Mo5 0.393 0.000 0.301
Au1 0.333 0.000 0.671
```

***

2.
DFT (PBE-GGA) results for ErTlAg after structural relaxation.

## Properties
ΔH_f (0 K): -206 meV/atom
final energy: -3.466 eV/atom

```
data_ErTlAg
_space_group_name_H-M_alt 'P 1 21/m 1'
_space_group_IT_number 11
_cell_length_a 4.247
_cell_length_b 4.689
_cell_length_c 7.404
_cell_angle_alpha 90.00
_cell_angle_beta 90.28
_cell_angle_gamma 90.00
loop_
_space_group_symop_operation_xyz
'x,y,z'
'-x,-y,-z'
'-x,y+1/2,-z'
'x,-y+1/2,z'
loop_
_atom_site_label
_atom_site_fract_x
_atom_site_fract_y
_atom_site_fract_z
Er1 0.247 0.250 0.193
Tl1 0.253 0.250 0.772
Ag1 0.250 0.750 0.505
```

***

3.
DFT (PBE-GGA) results for Cs6AgAu5 after structural relaxation.

## Properties
ΔH_f (0 K): -248 meV/atom
final energy: -2.278 eV/atom

```
data_Cs6AgAu5
_space_group_name_H-M_alt 'C 1 2/m 1'
_space_group_IT_number 12
_cell_length_a 9.122
_cell_length_b 15.792
_cell_length_c 9.091
_cell_angle_alpha 90.00
_cell_angle_beta 109.54
_cell_angle_gamma 90.00
loop_
_space_group_symop_operation_xyz
'x,y,z'
'-x,-y,-z'
'-x,y,-z'
'x,-y,z'
'x+1/2,y+1/2,z'
'-x+1/2,-y+1/2,-z'
'-x+1/2,y+1/2,-z'
'x+1/2,-y+1/2,z'
loop_
_atom_site_label
_atom_site_fract_x
_atom_site_fract_y
_atom_site_fract_z
Cs1 0.243 0.000 0.253
Cs2 0.245 0.170 0.746
Ag1 0.000 0.500 0.000
Au1 0.000 0.000 0.500
Au2 0.000 0.167 0.000
Au3 0.000 0.336 0.500
```

***

4.
DFT (PBE-GGA) results for CdPb3C after structural relaxation.

## Properties
ΔH_f (0 K): 896 meV/atom
energy above the most stable polymorph in this dataset: 0 meV per atom
final energy: -3.357 eV/atom

```
data_CdPb3C
_space_group_name_H-M_alt 'P m -3 m'
_space_group_IT_number 221
_space_group_name_Hall '-P 4 2 3'
_cell_length_a 5.120
_cell_length_b 5.120
_cell_length_c 5.120
_cell_angle_alpha 90.00
_cell_angle_beta 90.00
_cell_angle_gamma 90.00
loop_
_atom_site_label
_atom_site_fract_x
_atom_site_fract_y
_atom_site_fract_z
Cd1 0.000 0.000 0.000
Pb1 0.000 0.500 0.500
C1 0.500 0.500 0.500
```